[1]
VASP calculation (PBEsol) on Mg3As2O8 after structural relaxation.

Values from the calculation:
N(E_F)	0.00	states/eV per cell
crystal system	monoclinic

Unit cell a=6.554 b=8.872 c=11.021 alpha=90.00 beta=92.81 gamma=90.00
Space group P2_1/c (No. 14)
Inequivalent atoms, fractional coordinates:
Mg 0.086 0.204 0.075 [4 per cell]
Mg 0.239 0.651 0.636 [4 per cell]
Mg 0.387 0.037 0.623 [4 per cell]
As 0.104 0.056 0.357 [4 per cell]
As 0.410 0.615 0.360 [4 per cell]
O 0.043 0.237 0.396 [4 per cell]
O 0.078 0.077 0.618 [4 per cell]
O 0.127 0.044 0.203 [4 per cell]
O 0.212 0.626 0.457 [4 per cell]
O 0.323 0.662 0.216 [4 per cell]
O 0.327 0.501 0.929 [4 per cell]
O 0.399 0.234 0.089 [4 per cell]
O 0.479 0.066 0.832 [4 per cell]


[2]
VASP calculation (PBEsol) on BaTiSe3 after structural relaxation.

Values from the calculation:
N(E_F)	2.00	states/eV per cell
crystal system	cubic

Unit cell a=4.998 b=4.998 c=4.998 alpha=90.00 beta=90.00 gamma=90.00
Space group Pm-3m (No. 221)
Inequivalent atoms, fractional coordinates:
Ba 0.000 0.000 0.000 [1 per cell]
Ti 0.500 0.500 0.500 [1 per cell]
Se 0.000 0.500 0.500 [3 per cell]


Which E_form (uncorrected) belongs to each record? In order, -2.02 -1.43 eV per atom.